First-principles (PBE) data for a relaxed LaBi3 crystal, as listed in the Alexandria database.

extended XYZ file:
```
4
Lattice="5.0239 0.0000 0.0000 0.0000 5.0239 0.0000 0.0000 0.0000 5.0239" Properties=species:S:1:pos:R:3 pbc="T T T"
La 0.0000 0.0000 0.0000
Bi 0.0000 2.5120 2.5120
Bi 2.5120 0.0000 2.5120
Bi 2.5120 2.5120 0.0000
```

Calculated values
* symmetry: No. 221
* energy of formation from the pure elements: -0.55 eV/atom

***

First-principles (PBE) data for a relaxed YScPCl2 crystal, as listed in the Alexandria database.

extended XYZ file:
```
5
Lattice="5.0658 0.0000 0.0000 0.0000 5.0658 0.0000 0.0000 0.0000 5.6263" Properties=species:S:1:pos:R:3 pbc="T T T"
Y 0.0000 0.0000 0.0000
Sc 2.5329 2.5329 2.8132
P 0.0000 0.0000 2.8132
Cl 0.0000 2.5329 0.0000
Cl 2.5329 0.0000 0.0000
```

Calculated values
* energy relative to the lowest polymorph listed for this composition: 232 meV/atom
* symmetry: No. 123
* raw formation energy: -0.87 eV per atom

***

First-principles (PBE) data for a relaxed CuSiSe2 crystal, as listed in the Alexandria database.

extended XYZ file:
```
4
Lattice="2.8425 0.0000 0.0000 0.0000 2.8425 0.0000 0.0000 0.0000 9.3987" Properties=species:S:1:pos:R:3 pbc="T T T"
Cu 0.0000 0.0000 0.0000
Si 1.4213 1.4213 7.8351
Se 0.0000 0.0000 5.5989
Se 1.4213 1.4213 1.9406
```

Calculated values
* symmetry: No. 99
* raw formation energy: 0.30 eV per atom

***

First-principles (PBE) data for a relaxed MgTa2Nb2 crystal, as listed in the Alexandria database.

extended XYZ file:
```
10
Lattice="7.5374 0.0000 0.0000 0.0000 7.5374 0.0000 0.0000 0.0000 3.4612" Properties=species:S:1:pos:R:3 pbc="T T T"
Mg 0.0000 0.0000 0.0000
Mg 3.7687 3.7687 0.0000
Ta 1.1333 2.6354 1.7306
Ta 2.6354 6.4041 1.7306
Ta 4.9020 1.1333 1.7306
Ta 6.4041 4.9020 1.7306
Nb 1.0844 4.8531 0.0000
Nb 2.6843 1.0844 0.0000
Nb 4.8531 6.4530 0.0000
Nb 6.4530 2.6843 0.0000
```

Calculated values
* symmetry: No. 127
* energy of formation from the pure elements: 0.38 eV/atom

***

First-principles (PBE) data for a relaxed IrIO crystal, as listed in the Alexandria database.

extended XYZ file:
```
3
Lattice="4.7928 0.0000 0.0000 -2.3964 4.1507 0.0000 0.0000 0.0000 3.7384" Properties=species:S:1:pos:R:3 pbc="T T T"
Ir 0.0000 0.0000 0.0000
I 2.3964 1.3836 0.0000
O 0.0000 0.0000 1.8692
```

Calculated values
* energy relative to the lowest polymorph listed for this composition: 49 meV/atom
* symmetry: No. 187
* raw formation energy: -0.05 eV per atom

***

First-principles (PBE) data for a relaxed Tc4MoPb crystal, as listed in the Alexandria database.

extended XYZ file:
```
6
Lattice="0.0000 3.6768 3.6768 3.6768 0.0000 3.6768 3.6768 3.6768 0.0000" Properties=species:S:1:pos:R:3 pbc="T T T"
Tc 2.7618 2.7618 2.7618
Tc 4.5919 4.5919 2.7618
Tc 4.5919 2.7618 4.5919
Tc 2.7618 4.5919 4.5919
Mo 0.0000 0.0000 0.0000
Pb 5.5153 5.5153 5.5153
```

Calculated values
* symmetry: No. 216
* energy of formation from the pure elements: 0.48 eV/atom

***

First-principles (PBE) data for a relaxed CaPmPd6 crystal, as listed in the Alexandria database.

extended XYZ file:
```
8
Lattice="5.9527 0.0000 0.0000 -2.9764 5.1552 0.0000 0.0000 0.0000 4.7312" Properties=species:S:1:pos:R:3 pbc="T T T"
Ca 0.0000 0.0000 0.0000
Pm 0.0000 3.4368 2.3656
Pd 1.5420 0.8903 2.3656
Pd 2.9764 0.0723 0.0000
Pd 1.5508 2.5415 0.0000
Pd 4.4107 0.8903 2.3656
Pd 2.9764 3.3746 2.3656
Pd 4.4019 2.5415 0.0000
```

Calculated values
* energy relative to the lowest polymorph listed for this composition: 0 meV/atom
* symmetry: No. 187
* energy of formation from the pure elements: -0.62 eV/atom

***

First-principles (PBE) data for a relaxed MnTcAu4 crystal, as listed in the Alexandria database.

extended XYZ file:
```
6
Lattice="0.0000 3.8478 3.8478 3.8478 0.0000 3.8478 3.8478 3.8478 0.0000" Properties=species:S:1:pos:R:3 pbc="T T T"
Mn 0.0000 0.0000 0.0000
Tc 5.7717 5.7717 5.7717
Au 2.8859 2.8859 2.8859
Au 4.8097 4.8097 2.8859
Au 4.8097 2.8859 4.8097
Au 2.8859 4.8097 4.8097
```

Calculated values
* symmetry: No. 216
* energy of formation from the pure elements: 0.57 eV/atom

***

The following spin magnetization values (in Bohr magnetons per cell) correspond, in order, to the records above: 0.000, 1.002, 0.000, 0.000, 0.271, 0.000, 0.000, 7.995.
The following total DFT energy (no corrections) values (in Ha/atom) correspond, in order, to the records above: -0.172, -0.193, -0.141, -0.320, -0.190, -0.325, -0.197, -0.179.